[1]
DFT (PBE) results for a relaxed Nd2GeB crystal.

Cell: 13.667 4.106 7.169 Å, 90.00 100.31 90.00°
Positions (direct):
1 Nd 0.142 0.000 0.381
2 Nd 0.143 0.500 0.879
3 Nd 0.357 0.000 0.121
4 Nd 0.358 0.500 0.619
5 Nd 0.642 0.500 0.381
6 Nd 0.643 0.000 0.879
7 Nd 0.857 0.500 0.121
8 Nd 0.858 0.000 0.619
9 Ge 0.000 0.000 0.000
10 Ge 0.000 0.500 0.500
11 Ge 0.500 0.000 0.500
12 Ge 0.500 0.500 0.000
13 B 0.248 0.500 0.250
14 B 0.252 0.000 0.750
15 B 0.748 0.000 0.250
16 B 0.752 0.500 0.750

Results
Symmetry ... No. 12
Volume ... 99 Å³/f.u.
Uncorrected energy ... -5.2726 eV per atom



[2]
DFT (PBE) results for a relaxed NbAlIrAu crystal.

Cell: 6.363 6.363 6.363 Å, 90.00 90.00 90.00°
Positions (direct):
1 Nb 0.000 0.000 0.000
2 Nb 0.000 0.500 0.500
3 Nb 0.500 0.000 0.500
4 Nb 0.500 0.500 0.000
5 Al 0.250 0.250 0.250
6 Al 0.250 0.750 0.750
7 Al 0.750 0.250 0.750
8 Al 0.750 0.750 0.250
9 Ir 0.000 0.000 0.500
10 Ir 0.000 0.500 0.000
11 Ir 0.500 0.000 0.000
12 Ir 0.500 0.500 0.500
13 Au 0.250 0.250 0.750
14 Au 0.250 0.750 0.250
15 Au 0.750 0.250 0.250
16 Au 0.750 0.750 0.750

Results
Symmetry ... No. 216
Volume ... 64 Å³/f.u.
Uncorrected energy ... -6.6696 eV per atom
Distance to the lowest polymorph of the same formula ... 0.1277 eV/atom



[3]
DFT (PBE) results for a relaxed AgPbNO crystal.

Cell: 6.335 7.562 5.840 Å, 90.00 90.00 90.00°
Positions (direct):
1 Ag 0.093 0.130 0.000
2 Ag 0.407 0.130 0.500
3 Ag 0.593 0.870 0.000
4 Ag 0.907 0.870 0.500
5 Pb 0.081 0.629 0.981
6 Pb 0.419 0.629 0.481
7 Pb 0.581 0.371 0.981
8 Pb 0.919 0.371 0.481
9 N 0.084 0.617 0.598
10 N 0.416 0.617 0.098
11 N 0.584 0.383 0.598
12 N 0.916 0.383 0.098
13 O 0.054 0.134 0.591
14 O 0.446 0.134 0.091
15 O 0.554 0.866 0.591
16 O 0.946 0.866 0.091

Results
Symmetry ... No. 29
Volume ... 70 Å³/f.u.
Uncorrected energy ... -4.6390 eV per atom
Distance to the lowest polymorph of the same formula ... 0.0403 eV/atom